Record 1
CuNiCl2 after structural relaxation, computed with PBE.

Computed properties:
Space group: Cm
Relative energy among the computed polymorphs (eV per formula unit): 0.63
V (Å³ per cell): 69.90
D(E_F) (states/eV/atom): 0.867
Calculated total energy (eV/atom): -3.481

abc: 6.4068 6.4068 3.2848
angles: 72.85 72.85 33.02
Site moments in Bohr magnetons follow the coordinates.
Sites, in units of the cell vectors:
Ni (0.2511, 0.2511, 0.1226)  0.74
Cu (0.4329, 0.4329, 0.4343)  0.06
Cl (0.0498, 0.0498, 0.3487)  0.03
Cl (0.7663, 0.7663, 0.5944)  0.06

=====

Record 2
CuNi2Cl2 after structural relaxation, computed with PBE.

Computed properties:
Space group: P4/mbm
Relative energy among the computed polymorphs (eV per formula unit): 0.00
V (Å³ per cell): 149.70
D(E_F) (states/eV/atom): 0.354
Calculated total energy (eV/atom): -3.539

abc: 6.4277 6.4277 3.6233
angles: 90.00 90.00 90.00
Site moments in Bohr magnetons follow the coordinates.
Sites, in units of the cell vectors:
Ni (0.3566, 0.8566, 0.0000)  0.48
Ni (0.8566, 0.6434, 0.0000)  0.52
Ni (0.6434, 0.1434, 0.0000)  0.48
Ni (0.1434, 0.3566, 0.0000)  0.52
Cu (0.0000, 0.0000, 0.0000)  -0.01
Cu (0.5000, 0.5000, 0.0000)  -0.01
Cl (0.1938, 0.6938, 0.5000)  0.04
Cl (0.6938, 0.8062, 0.5000)  0.05
Cl (0.8062, 0.3062, 0.5000)  0.04
Cl (0.3062, 0.1938, 0.5000)  0.05

=====

Record 3
CuNi2Cl2 after structural relaxation, computed with PBE.

Computed properties:
Space group: I4/mmm
Relative energy among the computed polymorphs (eV per formula unit): 0.21
V (Å³ per cell): 79.94
D(E_F) (states/eV/atom): 0.623
Calculated total energy (eV/atom): -3.497

abc: 4.6104 4.6104 4.9771
angles: 62.41 62.41 90.00
Sites, in units of the cell vectors:
Ni (0.3180, 0.3180, 0.3641)
Ni (0.6820, 0.6820, 0.6359)
Cu (0.0000, 0.0000, 0.0000)
Cl (0.7500, 0.2500, 0.5000)
Cl (0.2500, 0.7500, 0.5000)

=====

- Among the records above, which one has the highest V?
  number 2